First-principles (PBEsol) data for a geometry-optimized Ta2NiPt structure, as listed in Alexandria via LeMat-Bulk.

Cell and atoms, written as POSCAR:
```
Ta2NiPt
1.0
-1.937 1.937 3.981
1.937 -1.937 3.981
1.937 1.937 -3.981
Ta Ni Pt
2 1 1
direct
0.250 0.750 0.500
0.750 0.250 0.500
0.000 0.000 0.000
0.500 0.500 0.000
```

- Magnetization: 0.0 μB per formula unit
- Space-group type: I4/mmm, No. 139
- Uncorrected energy: -9.98 eV per atom
- Formation energy from the elements: -0.4196 eV/atom